# 1
DFT (PBE) results for a relaxed Cd2Si2Pb crystal. Values from VASP.

Cell and atoms, written as Quantum ESPRESSO input:
```
&SYSTEM
  ibrav = 0, nat = 10, ntyp = 3
/
ATOMIC_SPECIES
Cd 112.41 Cd.upf
Si 28.09 Si.upf
Pb 207.20 Pb.upf
ATOMIC_POSITIONS crystal
Cd 0.1349 0.3651 0.0000
Cd 0.3651 0.8651 0.0000
Cd 0.6349 0.1349 0.0000
Cd 0.8651 0.6349 0.0000
Si 0.1628 0.6628 0.5000
Si 0.3372 0.1628 0.5000
Si 0.6628 0.8372 0.5000
Si 0.8372 0.3372 0.5000
Pb 0.0000 0.0000 0.5000
Pb 0.5000 0.5000 0.5000
CELL_PARAMETERS angstrom
8.3760 0.0000 0.0000
0.0000 8.3760 0.0000
0.0000 0.0000 3.1754
```

## Properties
D(E_F): 0.44 states/eV per atom


# 2
DFT (PBE) results for a relaxed Ba6MgNb2IrCl2O12 crystal. Values from VASP.

Cell and atoms, written as Quantum ESPRESSO input:
```
&SYSTEM
  ibrav = 0, nat = 24, ntyp = 6
/
ATOMIC_SPECIES
Ba 137.33 Ba.upf
Mg 24.30 Mg.upf
Nb 92.91 Nb.upf
Ir 192.22 Ir.upf
Cl 35.45 Cl.upf
O 16.00 O.upf
ATOMIC_POSITIONS crystal
Ba 0.0000 0.0000 0.0000
Ba 0.0000 0.0000 0.2384
Ba 0.0000 0.0000 0.6063
Ba 0.3333 0.6667 0.1262
Ba 0.3333 0.6667 0.4262
Ba 0.3333 0.6667 0.8564
Mg 0.0000 0.0000 0.4224
Nb 0.6667 0.3333 0.0311
Nb 0.6667 0.3333 0.3936
Ir 0.6667 0.3333 0.2169
Cl 0.0000 0.0000 0.8019
Cl 0.3333 0.6667 0.6464
O 0.3398 0.1699 0.4664
O 0.3623 0.1811 0.1263
O 0.5023 0.0046 0.9751
O 0.5023 0.4977 0.9751
O 0.5148 0.0296 0.3043
O 0.5148 0.4852 0.3043
O 0.8189 0.1811 0.1263
O 0.8189 0.6377 0.1263
O 0.8301 0.1699 0.4664
O 0.8301 0.6602 0.4664
O 0.9704 0.4852 0.3043
O 0.9954 0.4977 0.9751
CELL_PARAMETERS angstrom
5.9763 0.0000 0.0000
-2.9882 5.1757 0.0000
0.0000 0.0000 15.8405
```

## Properties
D(E_F): 0.27 states/eV per atom


# 3
DFT (PBE) results for a relaxed YBiAsBr2 crystal. Values from VASP.

Cell and atoms, written as Quantum ESPRESSO input:
```
&SYSTEM
  ibrav = 0, nat = 5, ntyp = 4
/
ATOMIC_SPECIES
Y 88.91 Y.upf
Bi 208.98 Bi.upf
As 74.92 As.upf
Br 79.90 Br.upf
ATOMIC_POSITIONS crystal
Y 0.0000 0.0000 0.0000
Bi 0.5000 0.5000 0.5000
As 0.0000 0.0000 0.5000
Br 0.0000 0.5000 0.0000
Br 0.5000 0.0000 0.0000
CELL_PARAMETERS angstrom
5.3795 0.0000 0.0000
0.0000 5.3795 0.0000
0.0000 0.0000 5.9620
```

## Properties
D(E_F): 0.58 states/eV per atom


Taking the records one at a time from the top gives formation energy without anion corrections values of 402; -2336; -509 meV/atom.